Entry 1:
# RbHo4 | Alexandria | PBE-GGA | relaxed
data_RbHo4
_cell_length_a 5.5347
_cell_length_b 5.5347
_cell_length_c 5.5347
_cell_angle_alpha 90.00
_cell_angle_beta 90.00
_cell_angle_gamma 90.00
_space_group_name_H-M_alt 'P m -3 m'
_space_group_IT_number 221
_space_group_name_Hall '-P 4 2 3'
loop_
_atom_site_label
_atom_site_type_symbol
_atom_site_fract_x
_atom_site_fract_y
_atom_site_fract_z
Rb1 Rb 0.0000 0.0000 0.0000
Ho1 Ho 0.0000 0.0000 0.5000
Ho2 Ho 0.5000 0.5000 0.5000
# **DFT formation energy**: 1.16 eV per atom

---

Entry 2:
# RbHo5S8 | Alexandria | PBE-GGA | relaxed
data_RbHo5S8
_cell_length_a 20.3794
_cell_length_b 3.9817
_cell_length_c 9.6682
_cell_angle_alpha 90.00
_cell_angle_beta 104.71
_cell_angle_gamma 90.00
_space_group_name_H-M_alt 'C 1 m 1'
_space_group_IT_number 8
loop_
_space_group_symop_operation_xyz
'x,y,z'
'x,-y,z'
'x+1/2,y+1/2,z'
'x+1/2,-y+1/2,z'
loop_
_atom_site_label
_atom_site_type_symbol
_atom_site_fract_x
_atom_site_fract_y
_atom_site_fract_z
Rb1 Rb 0.0000 0.0000 0.0000
Ho1 Ho 0.0000 0.5000 0.5007
Ho2 Ho 0.1555 0.0000 0.4460
Ho3 Ho 0.2028 0.0000 0.8396
Ho4 Ho 0.2972 0.5000 0.1618
Ho5 Ho 0.3444 0.5000 0.5553
S1 S 0.0795 0.0000 0.6423
S2 S 0.0798 0.5000 0.3091
S3 S 0.1706 0.5000 0.9915
S4 S 0.2281 0.5000 0.6437
S5 S 0.2719 0.0000 0.3576
S6 S 0.3294 0.0000 0.0098
S7 S 0.4201 0.0000 0.6924
S8 S 0.4205 0.5000 0.3592
# **Formation energy without anion corrections**: -2.011 eV/atom

---

Entry 3:
# RbHo2S3 | Alexandria | PBE-GGA | relaxed
data_RbHo2S3
_cell_length_a 4.4191
_cell_length_b 15.3501
_cell_length_c 10.6970
_cell_angle_alpha 90.00
_cell_angle_beta 90.00
_cell_angle_gamma 90.00
_space_group_name_H-M_alt 'C m c m'
_space_group_IT_number 63
_space_group_name_Hall '-C 2c 2'
loop_
_atom_site_label
_atom_site_type_symbol
_atom_site_fract_x
_atom_site_fract_y
_atom_site_fract_z
Rb1 Rb 0.0000 0.2341 0.2500
Ho1 Ho 0.0000 0.0304 0.7500
Ho2 Ho 0.0000 0.5000 0.0000
S1 S 0.0000 0.1147 0.5425
S2 S 0.0000 0.4436 0.7500
# **Formation energy without anion corrections**: -1.635 eV/atom